1.
First-principles (PBE) data for a relaxed YCdCuPb crystal, as listed in OQMD.

Calculated values
Total moment, μB per atom: 0.000
Electronic total energy, eV per cell: -15.10

Lattice parameters (Å, degrees): 5.0626 5.0626 5.0626 60.00 60.00 60.00
Last column: nearest neighbours and their distance in Å.
Fractional positions:
Cd 0.5000 0.5000 0.5000  4 Cu 3.10, 4 Y 3.10
Pb 0.0000 0.0000 0.0000  4 Cu 3.10, 4 Y 3.10
Y 0.2500 0.2500 0.2500  4 Cd 3.10, 4 Pb 3.10
Cu 0.7500 0.7500 0.7500  4 Cd 3.10, 4 Pb 3.10

---

2.
First-principles (PBE) data for a relaxed YCdCuPb crystal, as listed in OQMD.

Calculated values
Total moment, μB per atom: 0.000
Electronic total energy, eV per cell: -15.16

Lattice parameters (Å, degrees): 5.0523 5.0523 5.0523 60.00 60.00 60.00
Last column: nearest neighbours and their distance in Å.
Fractional positions:
Y 0.5000 0.5000 0.5000  4 Cd 3.09, 4 Cu 3.09
Pb 0.0000 0.0000 0.0000  4 Cu 3.09, 4 Cd 3.09
Cd 0.2500 0.2500 0.2500  4 Y 3.09, 4 Pb 3.09
Cu 0.7500 0.7500 0.7500  4 Pb 3.09, 4 Y 3.09

---

3.
First-principles (PBE) data for a relaxed ZrCdCuPb crystal, as listed in OQMD.

Calculated values
Total moment, μB per atom: 0.005
Electronic total energy, eV per cell: -15.81

Lattice parameters (Å, degrees): 4.9451 4.9451 4.9451 60.00 60.00 60.00
Last column: nearest neighbours and their distance in Å.
Fractional positions:
Cu 0.7500 0.7500 0.7500  4 Zr 3.03, 4 Pb 3.03
Zr 0.5000 0.5000 0.5000  4 Cu 3.03, 4 Cd 3.03
Cd 0.2500 0.2500 0.2500  4 Pb 3.03, 4 Zr 3.03
Pb 0.0000 0.0000 0.0000  4 Cu 3.03, 4 Cd 3.03

---

4.
First-principles (PBE) data for a relaxed ZrCdCuPb crystal, as listed in OQMD.

Calculated values
Total moment, μB per atom: 0.007
Electronic total energy, eV per cell: -15.97

Lattice parameters (Å, degrees): 4.9144 4.9144 4.9144 60.00 60.00 60.00
Last column: nearest neighbours and their distance in Å.
Fractional positions:
Zr 0.2500 0.2500 0.2500  4 Pb 3.01, 4 Cd 3.01
Cu 0.7500 0.7500 0.7500  4 Cd 3.01, 4 Pb 3.01
Cd 0.5000 0.5000 0.5000  4 Cu 3.01, 4 Zr 3.01
Pb 0.0000 0.0000 0.0000  4 Zr 3.01, 4 Cu 3.01

---

5.
First-principles (PBE) data for a relaxed CdCuPd2 crystal, as listed in OQMD.

Calculated values
ΔH_f (0 K), eV per atom: -0.178

Lattice parameters (Å, degrees): 4.4584 4.4584 4.4584 60.00 60.00 60.00
Last column: nearest neighbours and their distance in Å.
Fractional positions:
Cu 0.0000 0.0000 0.0000  4 Cd 2.73, 4 Pd 2.73
Pd 0.5000 0.5000 0.5000  4 Pd 2.73, 4 Cd 2.73
Pd 0.2500 0.2500 0.2500  4 Pd 2.73, 4 Cu 2.73
Cd 0.7500 0.7500 0.7500  4 Cu 2.73, 4 Pd 2.73

---

6.
First-principles (PBE) data for a relaxed CdCuPd2 crystal, as listed in OQMD.

Calculated values
ΔH_f (0 K), eV per atom: -0.288

Lattice parameters (Å, degrees): 3.0699 3.0699 6.6356 90.00 90.00 90.00
Last column: nearest neighbours and their distance in Å.
Fractional positions:
Pd 0.0000 0.0000 0.2237  4 Cu 2.63, 4 Cd 2.84
Pd 0.0000 0.0000 0.7763  4 Cu 2.63, 4 Cd 2.84
Cd 0.5000 0.5000 0.5000  8 Pd 2.84, 4 Cd 3.07
Cu 0.5000 0.5000 0.0000  8 Pd 2.63

---

7.
First-principles (PBE) data for a relaxed CdCuPd crystal, as listed in OQMD.

Calculated values
ΔH_f (0 K), eV per atom: 0.011

Lattice parameters (Å, degrees): 4.2211 4.2211 4.2211 60.00 60.00 60.00
Last column: nearest neighbours and their distance in Å.
Fractional positions:
Cu 0.0000 0.0000 0.0000  4 Pd 2.58, 4 Cd 2.58
Pd 0.7500 0.7500 0.7500  4 Cu 2.58
Cd 0.2500 0.2500 0.2500  4 Cu 2.58

---

8.
First-principles (PBE) data for a relaxed CdCuSbPd crystal, as listed in OQMD.

Calculated values
Electronic total energy, eV per cell: -14.22

Lattice parameters (Å, degrees): 4.6782 4.6782 4.6782 60.00 60.00 60.00
Last column: nearest neighbours and their distance in Å.
Fractional positions:
Cu 0.7500 0.7500 0.7500  4 Cd 2.86, 4 Sb 2.86
Pd 0.2500 0.2500 0.2500  4 Sb 2.86, 4 Cd 2.86
Cd 0.5000 0.5000 0.5000  4 Cu 2.86, 4 Pd 2.86
Sb 0.0000 0.0000 0.0000  4 Pd 2.86, 4 Cu 2.86

---

9.
First-principles (PBE) data for a relaxed CdCu2PdSe4 crystal, as listed in OQMD.

Calculated values
Electronic total energy, eV per cell: -29.19

Lattice parameters (Å, degrees): 7.0284 7.0284 7.0284 132.20 132.20 69.92
Last column: nearest neighbours and their distance in Å.
Fractional positions:
Cd 0.0000 0.0000 0.0000  4 Se 2.70
Pd 0.5000 0.5000 0.0000  4 Se 2.46
Cu 0.7500 0.2500 0.5000  4 Se 2.38
Cu 0.2500 0.7500 0.5000  4 Se 2.38
Se 0.5905 0.5905 0.4611  2 Cu 2.38, 1 Pd 2.46
Se 0.1293 0.1293 0.5389  2 Cu 2.38, 1 Pd 2.46
Se 0.8707 0.4095 0.0000  2 Cu 2.38, 1 Pd 2.46
Se 0.4095 0.8707 0.0000  2 Cu 2.38, 1 Pd 2.46

---

10.
First-principles (PBE) data for a relaxed Sm3Cd3CuPd2 crystal, as listed in OQMD.

Calculated values
Total moment, μB per atom: 0.001
ΔH_f (0 K), eV per atom: -0.585

Lattice parameters (Å, degrees): 7.6396 7.6396 3.9529 90.00 90.00 120.00
Last column: nearest neighbours and their distance in Å.
Fractional positions:
Pd 0.6667 0.3333 0.0000  3 Cd 2.94, 6 Sm 3.04
Pd 0.3333 0.6667 0.0000  3 Cd 2.94, 6 Sm 3.04
Sm 0.4106 0.0000 0.5000  4 Pd 3.04, 1 Cu 3.14, 6 Cd 3.28-3.37
Sm 0.0000 0.4106 0.5000  4 Pd 3.04, 1 Cu 3.14, 6 Cd 3.28-3.37
Sm 0.5893 0.5893 0.5000  4 Pd 3.04, 1 Cu 3.14, 6 Cd 3.28-3.37
Cd 0.7540 0.0000 0.0000  2 Cu 2.73, 2 Pd 2.94
Cd 0.0000 0.7540 0.0000  2 Cu 2.73, 2 Pd 2.94
Cd 0.2460 0.2460 0.0000  2 Cu 2.73, 2 Pd 2.94
Cu 0.0000 0.0000 0.5000  6 Cd 2.73

---

11.
First-principles (PBE) data for a relaxed Sm3Cd3Cu2Pd crystal, as listed in OQMD.

Calculated values
Total moment, μB per atom: 0.003
ΔH_f (0 K), eV per atom: -0.396

Lattice parameters (Å, degrees): 7.5305 7.5305 4.0425 90.00 90.00 120.00
Last column: nearest neighbours and their distance in Å.
Fractional positions:
Sm 0.4092 0.0000 0.5000  4 Cu 3.05, 1 Pd 3.08, 6 Cd 3.23-3.37
Sm 0.5908 0.5908 0.5000  4 Cu 3.05, 1 Pd 3.08, 6 Cd 3.23-3.37
Sm 0.0000 0.4092 0.5000  4 Cu 3.05, 1 Pd 3.08, 6 Cd 3.23-3.37
Pd 0.0000 0.0000 0.5000  6 Cd 2.79, 3 Sm 3.08
Cu 0.6667 0.3333 0.0000  3 Cd 2.85, 6 Sm 3.05
Cu 0.3333 0.6667 0.0000  3 Cd 2.85, 6 Sm 3.05
Cd 0.0000 0.7438 0.0000  2 Pd 2.79, 2 Cu 2.85
Cd 0.2562 0.2562 0.0000  2 Pd 2.79, 2 Cu 2.85
Cd 0.7438 0.0000 0.0000  2 Pd 2.79, 2 Cu 2.85

---

12.
First-principles (PBE) data for a relaxed CdCuSnPd crystal, as listed in OQMD.

Calculated values
Electronic total energy, eV per cell: -14.52

Lattice parameters (Å, degrees): 4.6418 4.6418 4.6418 60.00 60.00 60.00
Last column: nearest neighbours and their distance in Å.
Fractional positions:
Pd 0.2500 0.2500 0.2500  4 Sn 2.84, 4 Cd 2.84
Cu 0.7500 0.7500 0.7500  4 Cd 2.84, 4 Sn 2.84
Sn 0.0000 0.0000 0.0000  4 Pd 2.84, 4 Cu 2.84
Cd 0.5000 0.5000 0.5000  4 Cu 2.84, 4 Pd 2.84

---

13.
First-principles (PBE) data for a relaxed PrCdCu crystal, as listed in OQMD.

Calculated values
Total moment, μB per atom: 0.003
ΔH_f (0 K), eV per atom: -0.212

Lattice parameters (Å, degrees): 4.7344 4.7344 6.9861 90.00 90.00 120.00
Last column: nearest neighbours and their distance in Å.
Fractional positions:
Cd 0.6667 0.3333 0.0032  3 Cu 2.73
Cd 0.3333 0.6667 0.5032  3 Cu 2.73
Pr 0.0000 0.0000 0.2511  6 Cu 3.22-3.26, 6 Cd 3.24-3.25, 2 Pr 3.49
Pr 0.0000 0.0000 0.7511  6 Cu 3.22-3.26, 6 Cd 3.24-3.25, 2 Pr 3.49
Cu 0.6667 0.3333 0.4957  3 Cd 2.73
Cu 0.3333 0.6667 0.9957  3 Cd 2.73

---

14.
First-principles (PBE) data for a relaxed PrCd2Cu2 crystal, as listed in OQMD.

Calculated values
Total moment, μB per atom: 0.001
ΔH_f (0 K), eV per atom: -0.176

Lattice parameters (Å, degrees): 4.1937 4.1937 6.5381 108.71 108.71 90.00
Last column: nearest neighbours and their distance in Å.
Fractional positions:
Cu 0.6015 0.6015 0.2030  1 Cu 2.37
Cu 0.3985 0.3985 0.7970  1 Cu 2.37
Cd 0.2500 0.7500 0.5000  4 Cu 2.72, 4 Cd 2.97
Cd 0.7500 0.2500 0.5000  4 Cu 2.72, 4 Cd 2.97
Pr 0.0000 0.0000 0.0000  8 Cu 3.19

---

15.
First-principles (PBE) data for a relaxed PrCdCu crystal, as listed in OQMD.

Calculated values
Total moment, μB per atom: 0.001
ΔH_f (0 K), eV per atom: 0.057

Lattice parameters (Å, degrees): 5.0734 5.0734 6.3462 90.00 90.00 120.00
Last column: nearest neighbours and their distance in Å.
Fractional positions:
Cu 0.0000 0.0000 0.0000  2 Cu 3.17, 6 Pr 3.33, 6 Cd 3.33
Cu 0.0000 0.0000 0.5000  2 Cu 3.17, 6 Cd 3.33, 6 Pr 3.33
Cd 0.3333 0.6667 0.2500  5 Pr 2.93-3.17
Cd 0.6667 0.3333 0.7500  5 Pr 2.93-3.17
Pr 0.6667 0.3333 0.2500  5 Cd 2.93-3.17
Pr 0.3333 0.6667 0.7500  5 Cd 2.93-3.17

---

16.
First-principles (PBE) data for a relaxed PrCdCu crystal, as listed in OQMD.

Calculated values
Total moment, μB per atom: 0.001
ΔH_f (0 K), eV per atom: -0.231

Lattice parameters (Å, degrees): 7.3589 4.7767 7.8145 90.00 90.00 90.00
Last column: nearest neighbours and their distance in Å.
Fractional positions:
Cu 0.6993 0.7500 0.4194  4 Cd 2.72-2.84, 1 Pr 3.00
Cu 0.8007 0.2500 0.9194  4 Cd 2.72-2.84, 1 Pr 3.00
Cu 0.3007 0.2500 0.5806  4 Cd 2.72-2.84, 1 Pr 3.00
Cu 0.1993 0.7500 0.0806  4 Cd 2.72-2.84, 1 Pr 3.00
Cd 0.1871 0.2500 0.9116  4 Cu 2.72-2.84
Cd 0.8129 0.7500 0.0884  4 Cu 2.72-2.84
Cd 0.3129 0.7500 0.4116  4 Cu 2.72-2.84
Cd 0.6871 0.2500 0.5884  4 Cu 2.72-2.84
Pr 0.5239 0.2500 0.2020  3 Cu 3.00-3.20, 6 Cd 3.25-3.36
Pr 0.0239 0.2500 0.2980  3 Cu 3.00-3.20, 6 Cd 3.25-3.36
Pr 0.9761 0.7500 0.7020  3 Cu 3.00-3.20, 6 Cd 3.25-3.36
Pr 0.4761 0.7500 0.7980  3 Cu 3.00-3.20, 6 Cd 3.25-3.36

---

17.
First-principles (PBE) data for a relaxed PrCdCu crystal, as listed in OQMD.

Calculated values
Total moment, μB per atom: 0.003
ΔH_f (0 K), eV per atom: 0.173

Lattice parameters (Å, degrees): 8.1856 8.1856 3.4717 90.00 90.00 120.00
Last column: nearest neighbours and their distance in Å.
Fractional positions:
Cu 0.6371 0.0000 0.5000  5 Cd 2.97-3.14, 6 Pr 3.24-3.28
Cu 0.3629 0.3629 0.5000  5 Cd 2.97-3.14, 6 Pr 3.24-3.28
Cu 0.0000 0.6371 0.5000  5 Cd 2.97-3.14, 6 Pr 3.24-3.28
Cd 0.6667 0.3333 0.0000  3 Pr 2.89, 6 Cu 3.14
Cd 0.3333 0.6667 0.0000  3 Pr 2.89, 6 Cu 3.14
Cd 0.0000 0.0000 0.5000  3 Cu 2.97, 6 Pr 2.99
Pr 0.0000 0.2971 0.0000  4 Cd 2.89-2.99
Pr 0.2971 0.0000 0.0000  4 Cd 2.89-2.99
Pr 0.7029 0.7029 0.0000  4 Cd 2.89-2.99

---

18.
First-principles (PBE) data for a relaxed PrCdCu crystal, as listed in OQMD.

Calculated values
Total moment, μB per atom: 0.002
ΔH_f (0 K), eV per atom: -0.101

Lattice parameters (Å, degrees): 7.0284 7.0284 4.7569 90.00 90.00 120.00
Last column: nearest neighbours and their distance in Å.
Fractional positions:
Cu 0.0000 0.2168 0.0000  2 Cu 2.64, 4 Cd 2.82-2.84
Cu 0.2168 0.0000 0.0000  2 Cu 2.64, 4 Cd 2.82-2.84
Cu 0.7832 0.7832 0.0000  2 Cu 2.64, 4 Cd 2.82-2.84
Pr 0.4426 0.4426 0.5000  5 Cd 3.11-3.15, 2 Cu 3.37
Pr 0.0000 0.5574 0.5000  5 Cd 3.11-3.15, 2 Cu 3.37
Pr 0.5574 0.0000 0.5000  5 Cd 3.11-3.15, 2 Cu 3.37
Cd 0.0000 0.0000 0.5000  6 Cu 2.82, 3 Pr 3.11
Cd 0.6667 0.3333 0.0000  3 Cu 2.84, 6 Pr 3.15
Cd 0.3333 0.6667 0.0000  3 Cu 2.84, 6 Pr 3.15

---

19.
First-principles (PBE) data for a relaxed PrCdCu crystal, as listed in OQMD.

Calculated values
Total moment, μB per atom: 0.003
ΔH_f (0 K), eV per atom: -0.260

Lattice parameters (Å, degrees): 7.3881 7.3881 4.2625 90.00 90.00 120.00
Last column: nearest neighbours and their distance in Å.
Fractional positions:
Pr 0.0000 0.5823 0.5000  5 Cu 3.08-3.09, 6 Cd 3.30-3.43
Pr 0.4177 0.4177 0.5000  5 Cu 3.08-3.09, 6 Cd 3.30-3.43
Pr 0.5823 0.0000 0.5000  5 Cu 3.08-3.09, 6 Cd 3.30-3.43
Cu 0.6667 0.3333 0.0000  3 Cd 2.87, 6 Pr 3.08
Cu 0.0000 0.0000 0.5000  6 Cd 2.78, 3 Pr 3.09
Cu 0.3333 0.6667 0.0000  3 Cd 2.87, 6 Pr 3.08
Cd 0.7592 0.7592 0.0000  4 Cu 2.78-2.87, 2 Cd 3.08
Cd 0.0000 0.2408 0.0000  4 Cu 2.78-2.87, 2 Cd 3.08
Cd 0.2408 0.0000 0.0000  4 Cu 2.78-2.87, 2 Cd 3.08

---

20.
First-principles (PBE) data for a relaxed PrCdCu crystal, as listed in OQMD.

Calculated values
Total moment, μB per atom: 0.004
ΔH_f (0 K), eV per atom: -0.216

Lattice parameters (Å, degrees): 4.7213 4.7213 7.1815 90.00 90.00 120.00
Last column: nearest neighbours and their distance in Å.
Fractional positions:
Cd 0.3333 0.6667 0.7500  3 Cu 2.73
Cd 0.6667 0.3333 0.2500  3 Cu 2.73
Cu 0.6667 0.3333 0.7500  3 Cd 2.73
Cu 0.3333 0.6667 0.2500  3 Cd 2.73
Pr 0.0000 0.0000 0.0000  6 Cd 3.26, 6 Cu 3.26, 2 Pr 3.59
Pr 0.0000 0.0000 0.5000  6 Cu 3.26, 6 Cd 3.26, 2 Pr 3.59